[1]
Computed, not measured: a relaxed CaCo2Pb crystal at the PBE level of DFT.

abc: 8.425 8.425 8.425
angles: 23.06 23.06 23.06
Atoms (fractional coordinates):
Pb 0.250 0.250 0.250
Ca 0.750 0.750 0.750
Co 0.993 0.993 0.993
Co 0.507 0.507 0.507

The total energy comes out at -0.1581 Ha/atom. As for the density: 7.5 Mg/m³. The energy of formation comes out at 679 meV/atom. The density of states at the Fermi level is 0.99 states/eV per atom. The value obtained for the total moment is 2.1 μB per cell.

---

[2]
Computed, not measured: a relaxed CaCo2Pb crystal at the PBE level of DFT.

abc: 4.334 3.550 5.474
angles: 90.01 90.00 90.00
Atoms (fractional coordinates):
Co 0.000 0.250 0.957
Co 0.000 0.250 0.543
Ca 0.500 0.750 0.750
Pb 0.500 0.250 0.250

The total energy comes out at -0.1690 Ha/atom. As for the density: 7.2 Mg/m³. The energy of formation comes out at 382 meV/atom. The density of states at the Fermi level is 0.87 states/eV per atom. The value obtained for the total moment is 2.6 μB per cell.

---

[3]
Computed, not measured: a relaxed CaCoPb crystal at the PBE level of DFT.

abc: 4.584 4.584 3.838
angles: 90.00 90.00 120.00
Atoms (fractional coordinates):
Pb 0.333 0.667 0.500
Ca 0.000 0.000 0.000
Co 0.667 0.333 0.500

The total energy comes out at -0.1557 Ha/atom. As for the density: 7.3 Mg/m³. The energy of formation comes out at 34 meV/atom. The density of states at the Fermi level is 1.27 states/eV per atom. The value obtained for the total moment is 1.1 μB per cell.

---

[4]
Computed, not measured: a relaxed Ca3CoPb crystal at the PBE level of DFT.

abc: 5.311 5.311 5.311
angles: 90.00 90.00 90.00
Atoms (fractional coordinates):
Pb 0.500 0.500 0.500
Ca 0.000 0.500 0.000
Ca 0.000 0.000 0.500
Ca 0.500 0.000 0.000
Co 0.000 0.000 0.000

The total energy comes out at -0.1226 Ha/atom. The polymorph energy (0 for the lowest one) comes out at 0.0 meV per atom. As for the density: 4.3 Mg/m³. The energy of formation comes out at 28 meV/atom. The density of states at the Fermi level is 1.38 states/eV per atom. The value obtained for the total moment is 0.0 μB per cell.

---

[5]
Computed, not measured: a relaxed CaCoPb2 crystal at the PBE level of DFT.

abc: 4.998 4.998 9.900
angles: 75.38 75.38 90.00
Atoms (fractional coordinates):
Pb 0.044 0.625 0.250
Pb 0.875 0.956 0.750
Pb 0.375 0.294 0.750
Pb 0.706 0.125 0.250
Ca 0.250 0.750 0.500
Ca 0.500 0.500 0.000
Co 0.750 0.250 0.500
Co 0.000 0.000 0.000

The total energy comes out at -0.1399 Ha/atom. As for the density: 7.4 Mg/m³. The energy of formation comes out at 323 meV/atom. The density of states at the Fermi level is 2.23 states/eV per atom. The value obtained for the total moment is 3.0 μB per cell.

---

[6]
Computed, not measured: a relaxed CaCo2Pb crystal at the PBE level of DFT.

abc: 4.733 4.733 4.733
angles: 60.00 60.00 60.00
Atoms (fractional coordinates):
Co 0.000 0.000 0.000
Co 0.250 0.250 0.250
Pb 0.750 0.750 0.750
Ca 0.500 0.500 0.500

The total energy comes out at -0.1663 Ha/atom. As for the density: 8.1 Mg/m³. The energy of formation comes out at 456 meV/atom. The density of states at the Fermi level is 1.61 states/eV per atom. The value obtained for the total moment is 3.3 μB per cell.